# YCuS2Cl

Crystalline YCuS2Cl at its relaxed geometry (PBE, the Alexandria database).

a b c (Å): 4.6658 4.6658 4.4888
angles (deg): 90.00 90.00 90.00
Space group P4/mmm (No. 123)
Asymmetric unit:
Y1 0.0000 0.0000 0.0000 [1 per cell]
Cu1 0.5000 0.5000 0.5000 [1 per cell]
S1 0.0000 0.5000 0.5000 [2 per cell]
Cl1 0.5000 0.5000 0.0000 [1 per cell]

Results
Calculated density in g/cm³: 4.3
V in Å³/atom: 19.54
Raw formation energy in kcal/mol of atoms: -17.832
Final energy in eV for the cell shown: -24.5